First-principles (SCAN) data for a PBEsol-optimized structure of Cs2NaFeC6N6, as listed in Alexandria.

Values from the calculation:
magnetization = 2.00 Bohr magnetons per cell
formation energy without anion corrections = -0.21 eV per atom
crystal system = monoclinic

Cell and atoms, written as extended XYZ:
```
32
Lattice="7.397 0.000 0.000 0.000 7.745 0.000 -7.343 0.000 10.687" Properties=species:S:1:pos:R:3 pbc="T T T"
Cs -0.122 0.466 2.673
Cs -3.794 3.407 8.016
Cs 3.848 4.338 2.671
Cs 0.176 7.279 8.014
Na -3.672 0.000 5.343
Na 0.000 3.872 0.000
Fe 3.699 0.000 0.000
Fe 0.027 3.872 5.343
C -5.161 1.080 10.422
C -1.489 2.793 5.078
C -1.004 5.414 5.025
C -4.676 6.203 10.368
C -3.252 0.089 8.853
C 0.420 3.784 3.509
C -0.366 3.961 7.178
C 3.306 7.656 1.834
C 4.730 1.542 0.319
C 1.058 2.330 5.662
C 1.543 4.952 5.609
C 5.215 6.665 0.265
N -6.106 1.759 10.244
N -2.434 2.113 4.900
N -5.319 5.240 10.154
N -1.647 6.377 4.810
N -3.007 0.162 7.704
N 0.664 3.710 2.360
N -0.610 4.035 8.327
N 3.061 7.583 2.983
N 1.701 1.368 5.877
N 5.373 2.505 0.533
N 2.488 5.632 5.787
N 6.160 5.986 0.443
```